1.
# Na4ClO12

A relaxed Na4ClO12 crystal (PBE, the Alexandria database).

Computed properties:
**Total DFT energy (no corrections)**: -4.53 eV/atom
**Size of the total moment**: 2.8 Bohr magnetons per cell
**SG**: Im-3 (204)
**Calculated volume**: 236.7 Å³ per cell
**Crystal system**: cubic

Lattice parameters (Å, degrees): 6.7492 6.7492 6.7492 109.47 109.47 109.47
Atoms (fractional coordinates):
Na 0.0000 0.0000 0.5000
Na 0.0000 0.5000 0.0000
Na 0.5000 0.0000 0.0000
Na 0.5000 0.5000 0.5000
Cl 0.0000 0.0000 0.0000
O 0.1318 0.4177 0.5495
O 0.1318 0.5823 0.7141
O 0.2859 0.8682 0.4177
O 0.4177 0.2859 0.8682
O 0.4177 0.5495 0.1318
O 0.4505 0.8682 0.5823
O 0.5495 0.1318 0.4177
O 0.5823 0.4505 0.8682
O 0.5823 0.7141 0.1318
O 0.7141 0.1318 0.5823
O 0.8682 0.4177 0.2859
O 0.8682 0.5823 0.4505

---

2.
# CsNpI3

A relaxed CsNpI3 crystal (PBE, the Alexandria database).

Computed properties:
**Total DFT energy (no corrections)**: -4.62 eV/atom
**Excess energy over the best structure of this formula in the dataset**: 94.4 meV per atom
**Size of the total moment**: 5.0 Bohr magnetons per cell
**SG**: Pm-3m (221)
**Calculated volume**: 241.7 Å³ per cell
**Crystal system**: cubic

Lattice parameters (Å, degrees): 6.2291 6.2291 6.2291 90.00 90.00 90.00
Atoms (fractional coordinates):
Cs 0.0000 0.0000 0.0000
Np 0.5000 0.5000 0.5000
I 0.0000 0.5000 0.5000
I 0.5000 0.0000 0.5000
I 0.5000 0.5000 0.0000

---

3.
# Mn3SiH

A relaxed Mn3SiH crystal (PBE, the Alexandria database).

Computed properties:
**Total DFT energy (no corrections)**: -6.85 eV/atom
**Excess energy over the best structure of this formula in the dataset**: 649.4 meV per atom
**Size of the total moment**: 3.7 Bohr magnetons per cell
**SG**: Cmcm (63)
**Calculated volume**: 120.2 Å³ per cell
**Crystal system**: orthorhombic

Lattice parameters (Å, degrees): 6.6002 6.6002 4.2591 90.00 90.00 139.62
Atoms (fractional coordinates):
Mn 0.0000 0.0000 0.0000
Mn 0.0000 0.0000 0.5000
Mn 0.0955 0.4300 0.7500
Mn 0.4300 0.0955 0.2500
Mn 0.5700 0.9045 0.7500
Mn 0.9045 0.5700 0.2500
Si 0.1678 0.8322 0.7500
Si 0.8322 0.1678 0.2500
H 0.4419 0.5581 0.7500
H 0.5581 0.4419 0.2500

---

4.
# PuTlInSn

A relaxed PuTlInSn crystal (PBE, the Alexandria database).

Computed properties:
**Total DFT energy (no corrections)**: -5.86 eV/atom
**Excess energy over the best structure of this formula in the dataset**: 216.1 meV per atom
**Size of the total moment**: 23.8 Bohr magnetons per cell
**SG**: F-43m (216)
**E_form**: -0.002 eV/atom
**Calculated volume**: 442.7 Å³ per cell
**Crystal system**: cubic

Lattice parameters (Å, degrees): 7.6213 7.6213 7.6213 90.00 90.00 90.00
Atoms (fractional coordinates):
Pu 0.0000 0.0000 0.0000
Pu 0.0000 0.5000 0.5000
Pu 0.5000 0.0000 0.5000
Pu 0.5000 0.5000 0.0000
Tl 0.2500 0.2500 0.2500
Tl 0.2500 0.7500 0.7500
Tl 0.7500 0.2500 0.7500
Tl 0.7500 0.7500 0.2500
In 0.2500 0.2500 0.7500
In 0.2500 0.7500 0.2500
In 0.7500 0.2500 0.2500
In 0.7500 0.7500 0.7500
Sn 0.0000 0.0000 0.5000
Sn 0.0000 0.5000 0.0000
Sn 0.5000 0.0000 0.0000
Sn 0.5000 0.5000 0.5000